[1]
Below is crystalline ReSi3Ir at its relaxed geometry, with properties calculated at the PBE-GGA level.

```
ReSi3Ir
1.0
-2.865 3.572 -0.427
-3.179 -2.258 2.437
1.684 1.813 3.876
Re Si Ir
1 3 1
Cartesian
0.000 0.000 0.000
-1.590 -1.129 1.219
0.842 0.907 1.938
-1.432 1.786 -0.213
-2.180 1.564 2.943
```

Summary:
Crystal system: cubic
Symmetry: Pm-3m, No. 221
Energy relative to the elements, uncorrected: 1060.5 meV/atom
ΔE to the lowest computed polymorph: 0 meV/atom


[2]
Below is crystalline Re2SiIr at its relaxed geometry, with properties calculated at the PBE-GGA level.

```
Re2SiIr
1.0
2.838 0.000 0.000
0.000 3.959 0.000
0.000 0.000 5.122
Ir Re Si
1 2 1
Cartesian
1.419 1.980 3.842
0.000 0.000 0.056
0.000 0.000 2.505
1.419 1.980 1.281
```

Summary:
Crystal system: orthorhombic
Symmetry: Pmmm, No. 47
Energy relative to the elements, uncorrected: 54.4 meV/atom


[3]
Below is crystalline Re2SiIr at its relaxed geometry, with properties calculated at the PBE-GGA level.

```
Re2SiIr
1.0
-0.833 2.543 -4.404
1.780 -2.046 -4.382
-3.085 -0.495 4.098
Ir Re Si
1 2 1
Cartesian
-0.387 -1.131 -2.606
0.944 0.496 -8.761
-1.747 1.135 -2.118
0.472 0.248 -4.384
```

Summary:
Crystal system: orthorhombic
Symmetry: Imm2, No. 44
Energy relative to the elements, uncorrected: -170.4 meV/atom


[4]
Below is crystalline ReSiIr at its relaxed geometry, with properties calculated at the PBE-GGA level.

```
ReSiIr
1.0
4.585 0.001 0.003
2.084 4.084 -0.003
-2.926 -2.709 2.263
Ir Re Si
1 1 1
Cartesian
6.643 4.069 0.000
2.245 1.375 0.000
4.448 2.725 0.000
```

Summary:
Crystal system: orthorhombic
Symmetry: Imm2, No. 44
Energy relative to the elements, uncorrected: -4.0 meV/atom
ΔE to the lowest computed polymorph: 200 meV/atom


[5]
Below is crystalline Re2SiIr at its relaxed geometry, with properties calculated at the PBE-GGA level.

```
Re2SiIr
1.0
-0.761 -1.354 4.959
3.626 -2.805 2.447
-1.210 4.400 -2.486
Ir Re Si
1 2 1
Cartesian
1.924 -0.243 1.832
2.780 -4.036 7.186
1.518 -2.203 3.923
-0.269 0.483 3.088
```

Summary:
Crystal system: orthorhombic
Symmetry: Immm, No. 71
Energy relative to the elements, uncorrected: -94.5 meV/atom


[6]
Below is crystalline Re2SiIr at its relaxed geometry, with properties calculated at the PBE-GGA level.

```
Re2SiIr
1.0
4.174 0.000 0.000
0.000 3.716 0.000
0.000 0.000 3.716
Ir Re Si
1 2 1
Cartesian
2.087 0.000 1.858
0.000 0.000 0.000
0.000 1.858 1.858
2.087 1.858 0.000
```

Summary:
Crystal system: tetragonal
Symmetry: P4/mmm, No. 123
Energy relative to the elements, uncorrected: 175.1 meV/atom


[7]
Below is crystalline Re2SiIr at its relaxed geometry, with properties calculated at the PBE-GGA level.

```
Re2SiIr
1.0
-2.721 -0.660 0.074
0.163 -1.083 -3.687
1.256 -5.007 1.527
Ir Re Si
1 2 1
Cartesian
-0.376 -4.468 -0.710
0.038 -0.150 0.046
-0.985 -2.041 -1.450
0.651 -2.595 0.792
```

Summary:
Crystal system: orthorhombic
Symmetry: Pmm2, No. 25
Energy relative to the elements, uncorrected: -35.4 meV/atom


[8]
Below is crystalline ReSiIr at its relaxed geometry, with properties calculated at the PBE-GGA level.

```
ReSiIr
1.0
-3.859 -0.972 -3.506
-4.316 -2.799 -1.291
-2.272 1.601 0.851
Ir Re Si
1 1 1
Cartesian
-8.078 -3.684 -4.705
-6.311 -2.075 -3.014
-4.231 -0.182 -1.024
```

Summary:
Crystal system: tetragonal
Symmetry: I4mm, No. 107
Energy relative to the elements, uncorrected: -192.7 meV/atom
ΔE to the lowest computed polymorph: 11 meV/atom


[9]
Below is crystalline Re2SiIr at its relaxed geometry, with properties calculated at the PBE-GGA level.

```
Re2SiIr
1.0
4.027 0.000 0.000
0.000 2.764 -0.009
0.000 1.668 5.139
Ir Re Si
1 2 1
Cartesian
2.014 3.324 3.847
0.000 0.311 0.077
0.000 1.905 2.488
2.014 1.108 1.282
```

Summary:
Crystal system: monoclinic
Symmetry: P2/m, No. 10
Energy relative to the elements, uncorrected: -42.7 meV/atom


[10]
Below is crystalline Re2SiIr at its relaxed geometry, with properties calculated at the PBE-GGA level.

```
Re2SiIr
1.0
-0.186 2.845 -0.207
-2.255 -0.020 1.758
4.197 0.667 5.391
Ir Re Si
1 2 1
Cartesian
1.786 1.891 4.637
0.046 0.007 0.059
-0.078 1.594 2.243
2.100 0.334 2.698
```

Summary:
Crystal system: tetragonal
Symmetry: P4mm, No. 99
Energy relative to the elements, uncorrected: -221.2 meV/atom


[11]
Below is crystalline Re2SiIr at its relaxed geometry, with properties calculated at the PBE-GGA level.

```
Re2SiIr
1.0
-4.331 -0.995 -7.486
-1.974 -2.287 -8.165
-3.973 -3.664 -6.825
Ir Re Si
1 2 1
Cartesian
-7.708 -5.210 -16.857
-10.244 -6.924 -22.403
-5.172 -3.496 -11.310
-2.569 -1.737 -5.619
```

Summary:
Crystal system: trigonal
Symmetry: R-3m, No. 166
Energy relative to the elements, uncorrected: -71.0 meV/atom


[12]
Below is crystalline Re2SiIr at its relaxed geometry, with properties calculated at the PBE-GGA level.

```
Re2SiIr
1.0
-6.811 5.153 -0.822
-8.068 2.908 0.273
-6.849 4.786 1.950
Ir Re Si
1 2 1
Cartesian
-16.430 9.715 1.059
-21.697 12.829 1.399
-5.362 3.170 0.346
-10.832 6.405 0.698
```

Summary:
Crystal system: trigonal
Symmetry: R3m, No. 160
Energy relative to the elements, uncorrected: -163.6 meV/atom


Q: Which of these has the highest energy relative to the elements, uncorrected?
A: ReSi3Ir


Q: What is the energy relative to the elements, uncorrected in the sixth record?
A: 175.1 meV/atom


Q: Which value of energy relative to the elements, uncorrected does entry 5 give?
A: -94.5 meV/atom


Q: Among the records above, which one has the highest energy relative to the elements, uncorrected?
A: ReSi3Ir